A plane-wave DFT calculation with GGA-PBE was carried out for a geometry-optimized ZrCuRuCl2 structure.

Summary:
DFT total energy   -23.4 eV per cell
Space group   P4/mmm
E_form (uncorrected)   43 kJ per mole of atoms

Unit cell a=4.6628 b=5.1110 c=4.6628 alpha=90.00 beta=90.00 gamma=90.00
Fractional coordinates of all 5 atoms:
Ru 0.0000 0.0000 0.0000
Cu 0.5000 0.5000 0.5000
Zr 0.0000 0.5000 0.0000
Cl 0.0000 0.0000 0.5000
Cl 0.5000 0.0000 0.0000